Density functional theory data (PBE) for a relaxed structure of GdAu2ClO2.

It has space group P2_1/m (No. 11), with a = 5.9598 Å, b = 3.7255 Å, c = 10.3471 Å, α = 90.00°, β = 95.85° and γ = 90.00°. The distinct sites, in fractional coordinates, are Gd at (0.2336, 0.2500, 0.0828), Au at (0.0296, 0.2500, 0.7007), Au at (0.1842, 0.2500, 0.4709), Cl at (0.4963, 0.7500, 0.6712), O at (0.0144, 0.7500, 0.1020) and O at (0.4757, 0.7500, 0.0247).

Density functional theory data (PBE) for a relaxed structure of Ga8MoW2.

It has space group C2/m (No. 12), with a = 9.2855 Å, b = 3.6592 Å, c = 10.1250 Å, α = 90.00°, β = 99.33° and γ = 90.00°. The distinct sites, in fractional coordinates, are Ga at (0.0397, 0.0000, 0.3227), Ga at (0.1330, 0.0000, 0.9577), Ga at (0.1849, 0.5000, 0.7782), Ga at (0.2272, 0.0000, 0.5894), Mo at (0.0000, 0.5000, 0.5000) and W at (0.0939, 0.5000, 0.1579).

Density functional theory data (PBE) for a relaxed structure of NpSi.

It has space group Fm-3m (No. 225), with a = 5.6955 Å, b = 5.6955 Å, c = 5.6955 Å, α = 90.00°, β = 90.00° and γ = 90.00°. The distinct sites, in fractional coordinates, are Np at (0.0000, 0.0000, 0.0000) and Si at (0.0000, 0.0000, 0.5000).

Number 1: calculated total energy -61.350 eV per cell. Number 2: calculated total energy -122.028 eV per cell. Number 3: calculated total energy -71.352 eV per cell.